No. 1
A plane-wave DFT calculation with PBE-GGA was carried out for a relaxed TiCu4 crystal.

Lattice parameters (Å, degrees): 4.5361 4.3509 12.9427 90.00 90.00 90.00
Closest atoms and distances in Å follow each position.
Fractional positions:
Ti: 0.1530 0.2500 0.0967  12 Cu 2.58-2.68
Ti: 0.3470 0.7500 0.5967  12 Cu 2.58-2.68
Ti: 0.6530 0.2500 0.4033  12 Cu 2.58-2.68
Ti: 0.8470 0.7500 0.9033  12 Cu 2.58-2.68
Cu: 0.1536 0.2500 0.2995  9 Cu 2.60-2.64, 3 Ti 2.62-2.64
Cu: 0.1591 0.2500 0.5027  8 Cu 2.55-2.70, 4 Ti 2.58-2.63
Cu: 0.1738 0.2500 0.7013  10 Cu 2.51-2.64, 2 Ti 2.68
Cu: 0.1774 0.2500 0.8954  9 Cu 2.51-2.70, 3 Ti 2.61-2.64
Cu: 0.3226 0.7500 0.3954  9 Cu 2.51-2.70, 3 Ti 2.61-2.64
Cu: 0.3262 0.7500 0.2013  10 Cu 2.51-2.64, 2 Ti 2.68
Cu: 0.3409 0.7500 0.0027  8 Cu 2.55-2.70, 4 Ti 2.58-2.63
Cu: 0.3464 0.7500 0.7995  9 Cu 2.60-2.64, 3 Ti 2.62-2.64
Cu: 0.6536 0.2500 0.2005  9 Cu 2.60-2.64, 3 Ti 2.62-2.64
Cu: 0.6591 0.2500 0.9973  8 Cu 2.55-2.70, 4 Ti 2.58-2.63
Cu: 0.6738 0.2500 0.7987  10 Cu 2.51-2.64, 2 Ti 2.68
Cu: 0.6774 0.2500 0.6046  9 Cu 2.51-2.70, 3 Ti 2.61-2.64
Cu: 0.8226 0.7500 0.1046  9 Cu 2.51-2.70, 3 Ti 2.61-2.64
Cu: 0.8262 0.7500 0.2987  10 Cu 2.51-2.64, 2 Ti 2.68
Cu: 0.8409 0.7500 0.4973  8 Cu 2.55-2.70, 4 Ti 2.58-2.63
Cu: 0.8464 0.7500 0.7005  9 Cu 2.60-2.64, 3 Ti 2.62-2.64

Values from the calculation:
Energy of formation, kJ/mol of formula units: -42.7
ρ, g cm⁻³: 7.9

No. 2
A plane-wave DFT calculation with PBE-GGA was carried out for a relaxed TiCu4 crystal.

Lattice parameters (Å, degrees): 4.5888 4.5888 4.5888 90.00 90.00 90.00
Closest atoms and distances in Å follow each position.
Fractional positions:
Ti: 0.0000 0.0000 0.0000  6 Cu 2.29
Cu: 0.0000 0.0000 0.5000  2 Ti 2.29
Cu: 0.0000 0.5000 0.0000  2 Ti 2.29
Cu: 0.5000 0.0000 0.0000  2 Ti 2.29
Cu: 0.5000 0.5000 0.5000  12 Cu 3.24

Values from the calculation:
Energy of formation, kJ/mol of formula units: 655.6
ρ, g cm⁻³: 5.2

No. 3
A plane-wave DFT calculation with PBE-GGA was carried out for a relaxed TiCu4 crystal.

Lattice parameters (Å, degrees): 6.9891 6.9891 6.9891 146.48 135.49 56.85
Closest atoms and distances in Å follow each position.
Fractional positions:
Ti: 0.3656 0.1156 0.2500  13 Cu 2.65-2.80
Ti: 0.6344 0.8844 0.7500  13 Cu 2.65-2.80
Cu: 0.0000 0.5000 0.5000  4 Cu 2.41-2.65
Cu: 0.1486 0.8986 0.2500  10 Cu 2.63-2.78, 3 Ti 2.65-2.67
Cu: 0.1789 0.6958 0.4832  6 Cu 2.41-2.63, 2 Ti 2.65
Cu: 0.2874 0.3042 0.9832  6 Cu 2.41-2.63, 2 Ti 2.65
Cu: 0.5000 0.5000 0.0000  4 Cu 2.41-2.65
Cu: 0.7126 0.6958 0.0168  6 Cu 2.41-2.63, 2 Ti 2.65
Cu: 0.8211 0.3042 0.5168  6 Cu 2.41-2.63, 2 Ti 2.65
Cu: 0.8514 0.1014 0.7500  10 Cu 2.63-2.78, 3 Ti 2.65-2.67

Values from the calculation:
Energy of formation, kJ/mol of formula units: 16.1
ρ, g cm⁻³: 7.6

- ρ of number 1 (TiCu4)?
  7.9 g cm⁻³

- Which of these has the highest ρ?
  number 1